[1]
This record from the Alexandria database describes a relaxed structure of Ac8Rh3I4O. The functional is PBE.

Computed properties:
Space group: No. 12
Formation energy (no corrections): -1.17 eV/atom
Total magnetization: 0.000 μB per formula unit

Lattice parameters (Å, degrees): 8.7868 9.9301 8.5391 114.60 120.96 90.00
With the nearest neighbours (Å) after each atom.
Positions (direct):
Ac: 0.2339 0.6913 0.9522  2 Rh 2.91-2.98, 1 O 3.08
Ac: 0.1978 0.6651 0.3956  1 O 2.54
Ac: 0.2724 0.3158 0.5447  3 Rh 2.92-2.98
Ac: 0.7183 0.6913 0.9522  2 Rh 2.91-2.98, 1 O 3.08
Ac: 0.2817 0.3087 0.0478  2 Rh 2.91-2.98, 1 O 3.08
Ac: 0.7276 0.6842 0.4553  3 Rh 2.92-2.98
Ac: 0.8022 0.3349 0.6044  1 O 2.54
Ac: 0.7661 0.3087 0.0478  2 Rh 2.91-2.98, 1 O 3.08
Rh: 0.5000 0.5000 0.0000  6 Ac 2.92-2.98
Rh: 0.5000 0.5000 0.5000  6 Ac 2.91-3.05
Rh: 0.0000 0.5000 0.5000  6 Ac 2.91-3.05
I: 0.5000 0.0000 0.0000  4 Ac 3.61
I: 0.5000 0.0000 0.5000  6 Ac 3.68-3.74
I: 0.0000 0.0000 0.0000  6 Ac 3.69
I: 0.0000 0.0000 0.5000  6 Ac 3.68-3.74
O: 0.0000 0.5000 0.0000  2 Ac 2.54


[2]
This record from the Alexandria database describes a relaxed structure of RbNaGe2. The functional is PBE.

Computed properties:
Formation energy: -104 meV per atom
Space group: No. 62
Total magnetization: 0.000 μB per formula unit

Lattice parameters (Å, degrees): 7.1622 8.1737 8.9871 90.00 90.00 90.00
With the nearest neighbours (Å) after each atom.
Positions (direct):
Rb: 0.7500 0.0028 0.3378  8 Ge 3.74-3.96, 3 Na 4.02-4.12
Rb: 0.7500 0.5028 0.1622  8 Ge 3.74-3.96, 3 Na 4.02-4.12
Rb: 0.2500 0.9972 0.6622  8 Ge 3.74-3.96, 3 Na 4.02-4.12
Rb: 0.2500 0.4972 0.8378  8 Ge 3.74-3.96, 3 Na 4.02-4.12
Na: 0.7500 0.8140 0.8164  6 Ge 3.13-3.15
Na: 0.7500 0.3140 0.6836  6 Ge 3.13-3.15
Na: 0.2500 0.1860 0.1836  6 Ge 3.13-3.15
Na: 0.2500 0.6860 0.3164  6 Ge 3.13-3.15
Ge: 0.9198 0.6325 0.5405  2 Ge 2.43-2.56
Ge: 0.5802 0.1325 0.9595  2 Ge 2.43-2.56
Ge: 0.4198 0.3675 0.4595  2 Ge 2.43-2.56
Ge: 0.0802 0.8675 0.0405  2 Ge 2.43-2.56
Ge: 0.0802 0.3675 0.4595  2 Ge 2.43-2.56
Ge: 0.4198 0.8675 0.0405  2 Ge 2.43-2.56
Ge: 0.5802 0.6325 0.5405  2 Ge 2.43-2.56
Ge: 0.9198 0.1325 0.9595  2 Ge 2.43-2.56


[3]
This record from the Alexandria database describes a relaxed structure of Sm5Tl2CdIr2. The functional is PBE.

Computed properties:
Formation energy: -447 meV per atom
Space group: No. 127
Total magnetization: 0.000 μB per formula unit

Lattice parameters (Å, degrees): 3.7766 12.1424 12.1424 90.00 90.00 90.00
With the nearest neighbours (Å) after each atom.
Positions (direct):
Sm: 0.5000 0.2070 0.0776  2 Ir 2.81
Sm: 0.5000 0.7930 0.9224  2 Ir 2.81
Sm: 0.5000 0.0776 0.7930  2 Ir 2.81
Sm: 0.5000 0.7070 0.4224  2 Ir 2.81
Sm: 0.5000 0.9224 0.2070  2 Ir 2.81
Sm: 0.5000 0.2930 0.5776  2 Ir 2.81
Sm: 0.5000 0.5776 0.7070  2 Ir 2.81
Sm: 0.5000 0.4224 0.2930  2 Ir 2.81
Sm: 0.5000 0.5000 0.0000  4 Ir 2.93
Sm: 0.5000 0.0000 0.5000  4 Ir 2.93
Tl: 0.0000 0.6735 0.1735  3 Ir 3.37-3.73, 6 Sm 3.53-3.59
Tl: 0.0000 0.3265 0.8265  3 Ir 3.37-3.73, 6 Sm 3.53-3.59
Tl: 0.0000 0.1735 0.3265  3 Ir 3.37-3.73, 6 Sm 3.53-3.59
Tl: 0.0000 0.8265 0.6735  3 Ir 3.37-3.73, 6 Sm 3.53-3.59
Cd: 0.0000 0.0000 0.0000  8 Sm 3.28
Cd: 0.0000 0.5000 0.5000  8 Sm 3.28
Ir: 0.0000 0.1304 0.6304  6 Sm 2.81-2.93
Ir: 0.0000 0.8696 0.3696  6 Sm 2.81-2.93
Ir: 0.0000 0.6304 0.8696  6 Sm 2.81-2.93
Ir: 0.0000 0.3696 0.1304  6 Sm 2.81-2.93


[4]
This record from the Alexandria database describes a relaxed structure of In2Ge2Bi. The functional is PBE.

Computed properties:
Formation energy: 172 meV per atom
Space group: No. 139
Total magnetization: 0.000 μB per formula unit

Lattice parameters (Å, degrees): 3.8423 3.8423 9.2203 77.97 77.97 90.00
With the nearest neighbours (Å) after each atom.
Positions (direct):
Ge: 0.7500 0.2500 0.5000  4 Ge 2.72
Ge: 0.2500 0.7500 0.5000  4 Ge 2.72
Bi: 0.0000 0.0000 0.0000  8 In 3.35
In: 0.3886 0.3886 0.2228  4 Ge 3.11, 4 Bi 3.35
In: 0.6114 0.6114 0.7772  4 Ge 3.11, 4 Bi 3.35


[5]
This record from the Alexandria database describes a relaxed structure of RbIn2Sb2Au. The functional is PBE.

Computed properties:
Space group: No. 58
Formation energy (no corrections): -0.23 eV/atom
Total magnetization: 0.000 μB per formula unit

Lattice parameters (Å, degrees): 5.1196 6.4968 11.7372 90.00 90.00 90.00
With the nearest neighbours (Å) after each atom.
Positions (direct):
Rb: 0.5000 0.5000 0.0000  6 In 3.68-4.08, 6 Sb 3.69-4.09
Rb: 0.0000 0.0000 0.5000  6 In 3.68-4.08, 6 Sb 3.69-4.09
In: 0.5000 0.2275 0.3130  1 Au 2.82, 3 Sb 2.99-3.05
In: 0.0000 0.7275 0.1870  1 Au 2.82, 3 Sb 2.99-3.05
In: 0.5000 0.7725 0.6870  1 Au 2.82, 3 Sb 2.99-3.05
In: 0.0000 0.2725 0.8130  1 Au 2.82, 3 Sb 2.99-3.05
Sb: 0.5000 0.7585 0.3178  1 Au 2.72, 2 In 2.99
Sb: 0.5000 0.2415 0.6822  1 Au 2.72, 2 In 2.99
Sb: 0.0000 0.7415 0.8178  1 Au 2.72, 2 In 2.99
Sb: 0.0000 0.2585 0.1822  1 Au 2.72, 2 In 2.99
Au: 0.0000 0.0000 0.0000  2 Sb 2.72, 2 In 2.82
Au: 0.5000 0.5000 0.5000  2 Sb 2.72, 2 In 2.82


[6]
This record from the Alexandria database describes a relaxed structure of Ba4TlAs. The functional is PBE.

Computed properties:
Formation energy: 262 meV per atom
Space group: No. 216
Total magnetization: 0.002 μB per formula unit

Lattice parameters (Å, degrees): 7.1414 7.1414 7.1414 60.00 60.00 60.00
With the nearest neighbours (Å) after each atom.
Positions (direct):
Ba: 0.8786 0.3738 0.3738  6 Ba 3.54-3.61
Ba: 0.3738 0.3738 0.8786  6 Ba 3.54-3.61
Ba: 0.3738 0.8786 0.3738  6 Ba 3.54-3.61
Ba: 0.3738 0.3738 0.3738  6 Ba 3.54-3.61
Tl: 0.7500 0.7500 0.7500  12 Ba 4.19, 4 As 4.37
As: 0.0000 0.0000 0.0000  12 Ba 4.18, 4 Tl 4.37


[7]
This record from the Alexandria database describes a relaxed structure of SiOsPb2. The functional is PBE.

Computed properties:
Space group: No. 65
Formation energy (no corrections): 0.99 eV/atom
Total magnetization: 0.000 μB per formula unit

Lattice parameters (Å, degrees): 5.0733 5.0733 3.3300 90.00 90.00 102.17
With the nearest neighbours (Å) after each atom.
Positions (direct):
Os: 0.0000 0.5000 0.5000  8 Pb 3.03, 2 Si 3.19, 2 Os 3.33
Pb: 0.0000 0.0000 0.0000  4 Os 3.03, 4 Si 3.03, 4 Pb 3.19-3.33
Pb: 0.5000 0.5000 0.0000  4 Si 3.03, 4 Os 3.03, 4 Pb 3.19-3.33
Si: 0.5000 0.0000 0.5000  8 Pb 3.03, 2 Os 3.19, 2 Si 3.33


[8]
This record from the Alexandria database describes a relaxed structure of Al3V12Rh. The functional is PBE.

Computed properties:
Formation energy: -205 meV per atom
Space group: No. 47
Total magnetization: 0.000 μB per formula unit

Lattice parameters (Å, degrees): 4.7850 4.7808 9.6339 90.00 90.00 90.00
With the nearest neighbours (Å) after each atom.
Positions (direct):
Al: 0.5000 0.5000 0.2493  12 V 2.65-2.70
Al: 0.5000 0.5000 0.7507  12 V 2.65-2.70
Al: 0.0000 0.0000 0.0000  12 V 2.69-2.70
V: 0.5000 0.0000 0.3799  2 V 2.31-2.40
V: 0.5000 0.0000 0.8692  2 V 2.40-2.52, 2 Al 2.65
V: 0.7424 0.5000 0.0000  2 V 2.32-2.47
V: 0.7503 0.5000 0.5000  2 V 2.39-2.40, 2 Rh 2.67
V: 0.0000 0.7527 0.2524  2 V 2.36-2.42
V: 0.0000 0.7527 0.7476  2 V 2.36-2.42
V: 0.5000 0.0000 0.1308  2 V 2.40-2.52, 2 Al 2.65
V: 0.5000 0.0000 0.6201  2 V 2.31-2.40
V: 0.2576 0.5000 0.0000  2 V 2.32-2.47
V: 0.2497 0.5000 0.5000  2 V 2.39-2.40, 2 Rh 2.67
V: 0.0000 0.2473 0.2524  2 V 2.36-2.42
V: 0.0000 0.2473 0.7476  2 V 2.36-2.42
Rh: 0.0000 0.0000 0.5000  12 V 2.66-2.67


[9]
This record from the Alexandria database describes a relaxed structure of Eu2GaGe. The functional is PBE.

Computed properties:
Formation energy: -505 meV per atom
Space group: No. 123
Total magnetization: 13.990 μB per formula unit

Lattice parameters (Å, degrees): 4.0602 5.0512 5.0512 90.00 90.00 90.00
With the nearest neighbours (Å) after each atom.
Positions (direct):
Eu: 0.0000 0.0000 0.5000  4 Ge 3.24, 4 Ga 3.24, 4 Eu 3.57
Eu: 0.0000 0.5000 0.0000  4 Ge 3.24, 4 Ga 3.24, 4 Eu 3.57
Ge: 0.5000 0.5000 0.5000  8 Eu 3.24, 4 Ga 3.57
Ga: 0.5000 0.0000 0.0000  8 Eu 3.24, 4 Ge 3.57


[10]
This record from the Alexandria database describes a relaxed structure of Rb2SrH. The functional is PBE.

Computed properties:
Total energy: -1.69 eV/atom
Space group: No. 166
Total magnetization: 0.000 μB per formula unit

Lattice parameters (Å, degrees): 4.2781 4.2781 12.1951 79.90 79.90 60.00
With the nearest neighbours (Å) after each atom.
Positions (direct):
Sr: 0.0000 0.0000 0.0000  2 Rb 4.22, 6 Sr 4.28
Rb: 0.1177 0.1177 0.6470  3 H 3.03
Rb: 0.8823 0.8823 0.3530  3 H 3.03
H: 0.5000 0.5000 0.5000  6 Rb 3.03


[11]
This record from the Alexandria database describes a relaxed structure of LiZn2Au8. The functional is PBE.

Computed properties:
Formation energy: -217 meV per atom
Space group: No. 12
Total magnetization: 0.000 μB per formula unit

Lattice parameters (Å, degrees): 4.2220 6.5993 7.4390 108.64 106.49 90.00
With the nearest neighbours (Å) after each atom.
Positions (direct):
Li: 0.5000 0.0000 0.0000  12 Au 2.74-2.97
Zn: 0.7776 0.3565 0.5553  10 Au 2.71-3.03
Zn: 0.2224 0.6435 0.4447  10 Au 2.71-3.03
Au: 0.3998 0.5448 0.7996  3 Zn 2.76-2.82, 1 Li 2.86, 7 Au 2.88-3.05
Au: 0.6785 0.9283 0.3570  3 Zn 2.71-3.03, 1 Li 2.74, 8 Au 2.84-2.95
Au: 0.8579 0.7997 0.7157  3 Zn 2.76-2.82, 7 Au 2.87-2.95, 2 Li 2.92
Au: 0.9540 0.2690 0.9080  1 Zn 2.76, 9 Au 2.84-3.05, 2 Li 2.97
Au: 0.1421 0.2003 0.2843  3 Zn 2.76-2.82, 7 Au 2.87-2.95, 2 Li 2.92
Au: 0.3215 0.0717 0.6430  3 Zn 2.71-3.03, 1 Li 2.74, 8 Au 2.84-2.95
Au: 0.6002 0.4552 0.2004  3 Zn 2.76-2.82, 1 Li 2.86, 7 Au 2.88-3.05
Au: 0.0460 0.7310 0.0920  1 Zn 2.76, 9 Au 2.84-3.05, 2 Li 2.97


[12]
This record from the Alexandria database describes a relaxed structure of Na2TiMn. The functional is PBE.

Computed properties:
Formation energy: 970 meV per atom
Space group: No. 122
Total magnetization: 1.243 μB per formula unit

Lattice parameters (Å, degrees): 8.4454 8.4454 6.5129 49.58 49.58 90.00
With the nearest neighbours (Å) after each atom.
Positions (direct):
Na: 0.6509 0.1250 0.2500  2 Na 2.64, 2 Mn 2.91
Na: 0.0991 0.6250 0.2500  2 Na 2.64, 2 Mn 2.91
Na: 0.3750 0.3491 0.7500  2 Na 2.64, 2 Mn 2.91
Na: 0.8750 0.9009 0.7500  2 Na 2.64, 2 Mn 2.91
Mn: 0.0000 0.0000 0.0000  2 Ti 2.60, 4 Na 2.91
Mn: 0.7500 0.2500 0.5000  2 Ti 2.60, 4 Na 2.91
Ti: 0.5000 0.5000 0.0000  2 Mn 2.60
Ti: 0.2500 0.7500 0.5000  2 Mn 2.60